Record 1
# LaTbTeAs

LaTbTeAs after structural relaxation (PBE, Alexandria).

Raw total energy   -5.851 eV/atom

Cell: 4.2614 4.2614 22.7359 Å, 90.00 90.00 120.00°
With the nearest neighbours (Å) after each atom.
Space group R3m (No. 160, hexagonal axes)
Unique sites:
La 0.0000 0.0000 0.0000 (multiplicity 3)  3 As 2.99, 3 Te 3.32
Tb 0.0000 0.0000 0.1888 (multiplicity 3)  3 As 2.92, 3 Te 3.22
Te 0.0000 0.0000 0.4311 (multiplicity 3)  3 Tb 3.22, 3 La 3.32
As 0.0000 0.0000 0.5916 (multiplicity 3)  3 Tb 2.92, 3 La 2.99

Record 2
# La3TbTh2As6

La3TbTh2As6 after structural relaxation (PBE, Alexandria).

Raw total energy   -6.713 eV/atom

Cell: 7.4222 12.8663 7.4551 Å, 90.00 109.38 90.00°
With the nearest neighbours (Å) after each atom.
Space group C2/m (No. 12)
Unique sites:
La 0.0000 0.0000 0.0000 (multiplicity 2)  6 As 3.07-3.09
La 0.0000 0.3332 0.0000 (multiplicity 4)  6 As 3.07-3.09
Tb 0.0000 0.5000 0.5000 (multiplicity 2)  6 As 2.98
Th 0.0000 0.1665 0.5000 (multiplicity 4)  6 As 3.00
As 0.2454 0.3343 0.7395 (multiplicity 8)  1 Tb 2.98, 2 Th 3.00, 3 La 3.07-3.09
As 0.2488 0.0000 0.7404 (multiplicity 4)  1 Tb 2.98, 2 Th 3.00, 3 La 3.07-3.09

Record 3
# LaTb2Th3As6

LaTb2Th3As6 after structural relaxation (PBE, Alexandria).

Raw total energy   -6.841 eV/atom

Cell: 7.3551 12.7209 7.3155 Å, 90.00 109.59 90.00°
With the nearest neighbours (Å) after each atom.
Space group C2/m (No. 12)
Unique sites:
La 0.0000 0.0000 0.0000 (multiplicity 2)  6 As 3.03
Tb 0.0000 0.3329 0.0000 (multiplicity 4)  6 As 2.96-2.97
Th 0.0000 0.1648 0.5000 (multiplicity 4)  6 As 2.97-3.02
Th 0.0000 0.5000 0.5000 (multiplicity 2)  6 As 2.97-3.02
As 0.2418 0.5000 0.2467 (multiplicity 4)  2 Tb 2.96, 3 Th 2.97-3.01, 1 La 3.03
As 0.2467 0.3299 0.7506 (multiplicity 8)  2 Tb 2.97, 3 Th 2.97-3.02, 1 La 3.03

Record 4
# LaTb3Th2As6

LaTb3Th2As6 after structural relaxation (PBE, Alexandria).

Raw total energy   -6.639 eV/atom

Cell: 18.3478 4.2240 8.4137 Å, 90.00 102.92 90.00°
With the nearest neighbours (Å) after each atom.
Space group C2/m (No. 12)
Unique sites:
La 0.0000 0.0000 0.0000 (multiplicity 2)  6 As 3.03-3.04
Tb 0.0000 0.0000 0.5000 (multiplicity 2)  6 As 2.93-2.96
Tb 0.1654 0.5000 0.8332 (multiplicity 4)  6 As 2.94-2.96
Th 0.1662 0.5000 0.3322 (multiplicity 4)  6 As 2.98-3.01
As 0.0005 0.5000 0.7413 (multiplicity 4)  3 Tb 2.93-2.95, 1 Th 2.98, 2 La 3.03
As 0.1656 0.0000 0.5863 (multiplicity 4)  3 Tb 2.96, 3 Th 3.01
As 0.1701 0.0000 0.0818 (multiplicity 4)  3 Tb 2.94-2.96, 2 Th 3.00, 1 La 3.04

Record 5
# La2TbThAs4

La2TbThAs4 after structural relaxation (PBE, Alexandria).

Raw total energy   -6.606 eV/atom

Cell: 7.3968 4.2844 7.4432 Å, 90.00 109.39 90.00°
With the nearest neighbours (Å) after each atom.
Space group P2/m (No. 10)
Unique sites:
La 0.0000 0.0000 0.0000 (multiplicity 1)  6 As 3.07
La 0.5000 0.5000 0.0000 (multiplicity 1)  6 As 3.08
Tb 0.0000 0.5000 0.5000 (multiplicity 1)  6 As 2.98
Th 0.5000 0.0000 0.5000 (multiplicity 1)  6 As 2.99-3.00
As 0.2447 0.0000 0.7386 (multiplicity 2)  2 Tb 2.98, 1 Th 2.99, 3 La 3.07-3.08
As 0.2512 0.5000 0.2599 (multiplicity 2)  1 Tb 2.98, 2 Th 3.00, 3 La 3.07-3.08

Record 6
# LaTbTh2As4

LaTbTh2As4 after structural relaxation (PBE, Alexandria).

Raw total energy   -6.855 eV/atom

Cell: 7.3587 4.2615 7.3776 Å, 90.00 109.58 90.00°
With the nearest neighbours (Å) after each atom.
Space group P2/m (No. 10)
Unique sites:
La 0.0000 0.0000 0.0000 (multiplicity 1)  6 As 3.04
Tb 0.0000 0.5000 0.5000 (multiplicity 1)  6 As 2.99
Th 0.5000 0.0000 0.5000 (multiplicity 1)  6 As 2.98
Th 0.5000 0.5000 0.0000 (multiplicity 1)  6 As 3.03
As 0.2490 0.0000 0.7445 (multiplicity 2)  3 Th 2.98-3.03, 2 Tb 2.99, 1 La 3.04
As 0.2533 0.5000 0.2562 (multiplicity 2)  3 Th 2.98-3.03, 1 Tb 2.99, 2 La 3.04

Record 7
# LaTb3Th4As8

LaTb3Th4As8 after structural relaxation (PBE, Alexandria).

Raw total energy   -6.831 eV/atom

Cell: 8.4706 8.4706 20.6299 Å, 90.00 90.00 120.00°
With the nearest neighbours (Å) after each atom.
Space group R-3m (No. 166, hexagonal axes)
Unique sites:
La 0.0000 0.0000 0.0000 (multiplicity 3)  6 As 3.01
Tb 0.0000 0.5000 0.0000 (multiplicity 9)  6 As 2.97
Th 0.0000 0.0000 0.5000 (multiplicity 3)  6 As 2.96
Th 0.0000 0.5000 0.5000 (multiplicity 9)  6 As 3.01
As 0.0000 0.0000 0.2518 (multiplicity 6)  3 Tb 2.97, 3 Th 3.01
As 0.0052 0.5026 0.2505 (multiplicity 18)  3 Th 2.96-3.01, 2 Tb 2.97, 1 La 3.01

Record 8
# La2Tb3ThAs6

La2Tb3ThAs6 after structural relaxation (PBE, Alexandria).

Raw total energy   -6.461 eV/atom

Cell: 18.4270 4.2400 8.4666 Å, 90.00 102.97 90.00°
With the nearest neighbours (Å) after each atom.
Space group C2/m (No. 12)
Unique sites:
La 0.1670 0.0000 0.3350 (multiplicity 4)  6 As 3.04-3.05
Tb 0.0000 0.5000 0.5000 (multiplicity 2)  6 As 2.94-2.98
Tb 0.1676 0.0000 0.8332 (multiplicity 4)  6 As 2.94-2.98
Th 0.0000 0.5000 0.0000 (multiplicity 2)  6 As 3.00-3.01
As 0.0030 0.0000 0.7493 (multiplicity 4)  3 Tb 2.96-2.98, 2 Th 3.01, 1 La 3.05
As 0.1636 0.5000 0.5907 (multiplicity 4)  3 Tb 2.94, 3 La 3.04
As 0.1668 0.5000 0.0752 (multiplicity 4)  3 Tb 2.95-2.98, 1 Th 3.00, 2 La 3.05

Number 3 is which compound?
LaTb2Th3As6